Entry 1:
This record from Alexandria via LeMat-Bulk describes a PBEsol-optimized structure of Y3Pt. The functional is SCAN.

Properties
- DFT formation energy (eV/atom) = -0.762
- N(E_F) (states/eV per cell) = 3.79

```
data_Y3Pt
_cell_length_a 3.6231
_cell_length_b 5.1740
_cell_length_c 6.2886
_cell_angle_alpha 114.29
_cell_angle_beta 106.74
_cell_angle_gamma 90.00
_space_group_name_H-M_alt 'P 1'
_space_group_IT_number 1
_space_group_name_Hall 'P 1'
loop_
_atom_site_label
_atom_site_type_symbol
_atom_site_fract_x
_atom_site_fract_y
_atom_site_fract_z
_atom_site_occupancy
Y1 Y 0.7009 0.2845 0.4018 1
Y2 Y 0.5000 0.5835 0.0000 1
Y3 Y 0.2991 0.8827 0.5982 1
Pt1 Pt 0.0000 0.0827 0.0000 1
```

---

Entry 2:
This record from Alexandria via LeMat-Bulk describes a PBEsol-optimized structure of TcRuCl2. The functional is SCAN.

Properties
- offset from the most stable computed form (eV/f.u.) = 0.00
- uncorrected formation energy (eV per atom) = 0.36
- N(E_F) (states/eV per cell) = 2.93

```
data_TcRuCl2
_cell_length_a 2.8713
_cell_length_b 4.3344
_cell_length_c 6.7830
_cell_angle_alpha 108.63
_cell_angle_beta 102.22
_cell_angle_gamma 90.00
_space_group_name_H-M_alt 'P 1'
_space_group_IT_number 1
_space_group_name_Hall 'P 1'
loop_
_atom_site_label
_atom_site_type_symbol
_atom_site_fract_x
_atom_site_fract_y
_atom_site_fract_z
_atom_site_occupancy
Cl1 Cl 0.8488 0.8488 0.6975 1
Cl2 Cl 0.1512 0.1512 0.3025 1
Ru1 Ru 0.0000 0.5000 0.0000 1
Tc1 Tc 0.5000 0.0000 0.0000 1
```

---

Entry 3:
This record from Alexandria via LeMat-Bulk describes a PBEsol-optimized structure of Cd2ReSe2. The functional is SCAN.

Properties
- uncorrected formation energy (eV per atom) = 0.88
- N(E_F) (states/eV per cell) = 2.00

```
data_Cd2ReSe2
_cell_length_a 3.5276
_cell_length_b 3.5276
_cell_length_c 9.1053
_cell_angle_alpha 101.17
_cell_angle_beta 101.17
_cell_angle_gamma 90.00
_space_group_name_H-M_alt 'P 1'
_space_group_IT_number 1
_space_group_name_Hall 'P 1'
loop_
_atom_site_label
_atom_site_type_symbol
_atom_site_fract_x
_atom_site_fract_y
_atom_site_fract_z
_atom_site_occupancy
Re1 Re 0.0000 0.0000 0.0000 1
Cd1 Cd 0.4157 0.4157 0.8315 1
Cd2 Cd 0.5843 0.5843 0.1685 1
Se1 Se 0.2500 0.7500 0.5000 1
Se2 Se 0.7500 0.2500 0.5000 1
```